VASP calculation (PBE) on a relaxed structure of Pa6Zn23C.

The structure in POSCAR format:
```
Pa6Zn23C
1.0
0.000 6.350 6.350
6.350 0.000 6.350
6.350 6.350 0.000
Pa Zn C
6 23 1
direct
0.194 0.194 0.806
0.194 0.806 0.194
0.194 0.806 0.806
0.806 0.194 0.194
0.806 0.194 0.806
0.806 0.806 0.194
0.000 0.000 0.500
0.000 0.500 0.000
0.000 0.500 0.500
0.139 0.620 0.620
0.173 0.173 0.173
0.173 0.173 0.482
0.173 0.482 0.173
0.380 0.380 0.380
0.380 0.380 0.861
0.380 0.861 0.380
0.482 0.173 0.173
0.500 0.000 0.000
0.500 0.000 0.500
0.500 0.500 0.000
0.500 0.500 0.500
0.518 0.827 0.827
0.620 0.139 0.620
0.620 0.620 0.139
0.620 0.620 0.620
0.827 0.518 0.827
0.827 0.827 0.518
0.827 0.827 0.827
0.861 0.380 0.380
0.000 0.000 0.000
```

Values from the calculation:
M_tot   0.52 μB per cell
Energy of formation from the pure elements   -162 meV/atom